{"formula": "Pr7FeI12", "functional": "SCAN", "state": "single point on PBEsol structure", "cell": [[7.867, 4.542, 3.572], [-7.867, 4.542, 3.572], [0.000, -9.084, 3.572]], "species": ["Pr", "Pr", "Pr", "Pr", "Pr", "Pr", "Pr", "Fe", "I", "I", "I", "I", "I", "I", "I", "I", "I", "I", "I", "I"], "frac_coords": [[0.000, 0.000, 0.000], [0.194, 0.468, 0.398], [0.398, 0.194, 0.468], [0.468, 0.398, 0.194], [0.532, 0.602, 0.806], [0.602, 0.806, 0.532], [0.806, 0.532, 0.602], [0.500, 0.500, 0.500], [0.023, 0.106, 0.347], [0.106, 0.347, 0.023], [0.183, 0.577, 0.733], [0.267, 0.817, 0.423], [0.347, 0.023, 0.106], [0.423, 0.267, 0.817], [0.577, 0.733, 0.183], [0.653, 0.977, 0.894], [0.733, 0.183, 0.577], [0.817, 0.423, 0.267], [0.894, 0.653, 0.977], [0.977, 0.894, 0.653]], "dft_energy_ev_per_atom": -39.4657}

---

{"formula": "ZrTa2Pt", "functional": "SCAN", "state": "single point on PBEsol structure", "cell": [[3.786, 0.000, 0.000], [0.000, 4.354, 0.000], [0.000, 0.000, 8.629]], "species": ["Zr", "Zr", "Ta", "Ta", "Ta", "Ta", "Pt", "Pt"], "frac_coords": [[0.000, 0.000, 0.000], [0.500, 0.500, 0.000], [0.000, 0.000, 0.471], [0.000, 0.500, 0.727], [0.500, 0.000, 0.727], [0.500, 0.500, 0.471], [0.000, 0.500, 0.246], [0.500, 0.000, 0.246]], "formation_enthalpy_0k_ev_per_atom": -0.376}

---

{"formula": "KCd2Ag", "functional": "SCAN", "state": "single point on PBEsol structure", "cell": [[2.966, 0.000, 0.000], [0.000, 5.568, 0.000], [0.000, 0.000, 11.630]], "species": ["K", "K", "Cd", "Cd", "Cd", "Cd", "Ag", "Ag"], "frac_coords": [[0.000, 0.000, 0.000], [0.500, 0.500, 0.500], [0.000, 0.500, 0.208], [0.000, 0.500, 0.792], [0.500, 0.000, 0.292], [0.500, 0.000, 0.708], [0.000, 0.000, 0.500], [0.500, 0.500, 0.000]], "formation_enthalpy_0k_ev_per_atom": 0.022}

---

{"formula": "FeAgPBr2", "functional": "SCAN", "state": "single point on PBEsol structure", "cell": [[5.187, 0.000, 0.000], [0.000, 5.187, 0.000], [0.000, 0.000, 4.627]], "species": ["Fe", "Ag", "P", "Br", "Br"], "frac_coords": [[0.000, 0.000, 0.000], [0.500, 0.500, 0.000], [0.500, 0.500, 0.500], [0.000, 0.500, 0.500], [0.500, 0.000, 0.500]], "dft_energy_ev_per_atom": -19.0751}

---

{"formula": "NaFeS2O8", "functional": "SCAN", "state": "single point on PBEsol structure", "cell": [[4.026, -2.599, 0.000], [4.026, 2.599, 0.000], [-0.152, 0.000, 7.126]], "species": ["Na", "Fe", "S", "S", "O", "O", "O", "O", "O", "O", "O", "O"], "frac_coords": [[0.000, 0.000, 0.000], [0.000, 0.000, 0.500], [0.358, 0.358, 0.723], [0.642, 0.642, 0.277], [0.233, 0.700, 0.704], [0.237, 0.237, 0.562], [0.281, 0.281, 0.904], [0.300, 0.767, 0.296], [0.700, 0.233, 0.704], [0.719, 0.719, 0.096], [0.763, 0.763, 0.438], [0.767, 0.300, 0.296]], "dft_energy_ev_per_atom": -9.3643}

---

{"formula": "BeSn2Pd", "functional": "SCAN", "state": "single point on PBEsol structure", "cell": [[6.629, 0.000, 0.000], [0.000, 6.629, 0.000], [0.000, 0.000, 6.629]], "species": ["Be", "Be", "Be", "Be", "Sn", "Sn", "Sn", "Sn", "Sn", "Sn", "Sn", "Sn", "Pd", "Pd", "Pd", "Pd"], "frac_coords": [[0.000, 0.000, 0.000], [0.000, 0.500, 0.500], [0.500, 0.000, 0.500], [0.500, 0.500, 0.000], [0.250, 0.250, 0.250], [0.250, 0.250, 0.750], [0.250, 0.750, 0.250], [0.250, 0.750, 0.750], [0.750, 0.250, 0.250], [0.750, 0.250, 0.750], [0.750, 0.750, 0.250], [0.750, 0.750, 0.750], [0.000, 0.000, 0.500], [0.000, 0.500, 0.000], [0.500, 0.000, 0.000], [0.500, 0.500, 0.500]], "formation_enthalpy_0k_ev_per_atom": 0.237}

---

{"formula": "Cr2TeSe", "functional": "SCAN", "state": "single point on PBEsol structure", "cell": [[5.867, 0.000, 0.000], [0.000, 5.867, 0.000], [0.000, 0.000, 12.063]], "species": ["Cr", "Cr", "Cr", "Cr", "Cr", "Cr", "Cr", "Cr", "Te", "Te", "Te", "Te", "Se", "Se", "Se", "Se"], "frac_coords": [[0.220, 0.250, 0.125], [0.250, 0.720, 0.375], [0.250, 0.780, 0.875], [0.280, 0.250, 0.625], [0.720, 0.750, 0.625], [0.750, 0.220, 0.875], [0.750, 0.280, 0.375], [0.780, 0.750, 0.125], [0.000, 0.000, 0.500], [0.000, 0.500, 0.750], [0.500, 0.000, 0.250], [0.500, 0.500, 0.000], [0.000, 0.000, 0.000], [0.000, 0.500, 0.250], [0.500, 0.000, 0.750], [0.500, 0.500, 0.500]], "dft_energy_ev_per_atom": -23.9290}

---

{"formula": "SrReIr", "functional": "SCAN", "state": "single point on PBEsol structure", "cell": [[3.031, 0.000, 0.000], [0.000, 3.031, 0.000], [0.000, 0.000, 12.905]], "species": ["Sr", "Sr", "Re", "Re", "Ir", "Ir"], "frac_coords": [[0.000, 0.000, 0.000], [0.500, 0.500, 0.500], [0.000, 0.000, 0.700], [0.500, 0.500, 0.200], [0.000, 0.000, 0.305], [0.500, 0.500, 0.805]], "formation_enthalpy_0k_ev_per_atom": 0.374}

---

{"formula": "MgInPb2", "functional": "SCAN", "state": "single point on PBEsol structure", "cell": [[4.673, 0.000, 0.000], [0.000, 4.673, 0.000], [0.000, 0.000, 9.799]], "species": ["Mg", "Mg", "In", "In", "Pb", "Pb", "Pb", "Pb"], "frac_coords": [[0.000, 0.000, 0.000], [0.500, 0.500, 0.500], [0.000, 0.500, 0.750], [0.500, 0.000, 0.250], [0.000, 0.000, 0.500], [0.000, 0.500, 0.250], [0.500, 0.000, 0.750], [0.500, 0.500, 0.000]], "formation_enthalpy_0k_ev_per_atom": -0.029}

---

{"formula": "Fe2CoAg", "functional": "SCAN", "state": "single point on PBEsol structure", "cell": [[2.906, 0.000, 0.000], [0.000, 4.184, 0.000], [0.000, 0.000, 8.225]], "species": ["Fe", "Fe", "Fe", "Fe", "Co", "Co", "Ag", "Ag"], "frac_coords": [[0.000, 0.000, 0.000], [0.000, 0.500, 0.261], [0.500, 0.000, 0.761], [0.500, 0.500, 0.500], [0.000, 0.000, 0.532], [0.500, 0.500, 0.032], [0.000, 0.500, 0.766], [0.500, 0.000, 0.266]], "formation_enthalpy_0k_ev_per_atom": 0.205}

---

{"formula": "AgTeO3", "functional": "SCAN", "state": "single point on PBEsol structure", "cell": [[5.430, 0.000, 0.000], [0.000, 7.432, 0.000], [-1.328, 0.000, 6.731]], "species": ["Ag", "Ag", "Ag", "Ag", "Te", "Te", "Te", "Te", "O", "O", "O", "O", "O", "O", "O", "O", "O", "O", "O", "O"], "frac_coords": [[0.000, 0.000, 0.000], [0.000, 0.500, 0.000], [0.426, 0.250, 0.175], [0.574, 0.750, 0.825], [0.000, 0.000, 0.500], [0.000, 0.500, 0.500], [0.480, 0.750, 0.318], [0.520, 0.250, 0.682], [0.107, 0.750, 0.564], [0.237, 0.014, 0.325], [0.237, 0.486, 0.325], [0.259, 0.065, 0.729], [0.259, 0.435, 0.729], [0.332, 0.750, 0.049], [0.668, 0.250, 0.951], [0.741, 0.565, 0.271], [0.741, 0.935, 0.271], [0.763, 0.514, 0.675], [0.763, 0.986, 0.675], [0.893, 0.250, 0.436]], "dft_energy_ev_per_atom": -18.2782}

---

{"formula": "CaV2O4", "functional": "SCAN", "state": "single point on PBEsol structure", "cell": [[-3.000, 3.000, 4.543], [3.000, -3.000, 4.543], [3.000, 3.000, -4.543]], "species": ["Ca", "Ca", "V", "V", "V", "V", "O", "O", "O", "O", "O", "O", "O", "O"], "frac_coords": [[0.375, 0.625, 0.750], [0.625, 0.375, 0.250], [0.000, 0.000, 0.000], [0.000, 0.000, 0.500], [0.000, 0.500, 0.000], [0.500, 0.000, 0.500], [0.195, 0.223, 0.972], [0.223, 0.195, 0.472], [0.223, 0.752, 0.028], [0.248, 0.777, 0.472], [0.752, 0.223, 0.528], [0.777, 0.248, 0.972], [0.777, 0.805, 0.528], [0.805, 0.777, 0.028]], "dft_energy_ev_per_atom": -12.7496}